1.
{"formula": "ThCdAu2", "functional": "PBE", "state": "relaxed", "magmom_total_mub_per_cell": 0.0, "dft_energy_ha_per_atom": -0.1510, "lattice": [[-2.760, -1.829, 1.857], [2.741, -4.154, -0.017], [2.041, 1.328, 4.341]], "species": ["Th", "Au", "Au", "Cd"], "frac_coords": [[0.500, 0.500, 0.500], [0.000, 0.500, 0.000], [0.000, 0.000, 0.500], [0.500, 0.000, 0.000]]}

2.
{"formula": "Th2Cd3Au4", "functional": "PBE", "state": "relaxed", "relative_energy_ev_per_atom": 0.100, "magmom_total_mub_per_cell": 0.0, "dft_energy_ha_per_atom": -0.1394, "lattice": [[6.073, 0.000, 0.000], [0.000, 8.484, 0.000], [-3.036, 0.000, 8.071]], "species": ["Cd", "Cd", "Cd", "Cd", "Cd", "Cd", "Au", "Au", "Au", "Au", "Au", "Au", "Au", "Au", "Th", "Th", "Th", "Th"], "frac_coords": [[0.038, 0.750, 0.576], [0.000, 0.000, 0.000], [0.500, 0.500, 0.000], [0.462, 0.250, 0.424], [0.962, 0.250, 0.424], [0.538, 0.750, 0.576], [0.818, 0.045, 0.636], [0.682, 0.545, 0.364], [0.712, 0.750, 0.924], [0.212, 0.750, 0.924], [0.288, 0.250, 0.076], [0.182, 0.955, 0.364], [0.788, 0.250, 0.076], [0.318, 0.455, 0.636], [0.114, 0.585, 0.229], [0.614, 0.915, 0.229], [0.886, 0.415, 0.771], [0.386, 0.085, 0.771]]}

3.
{"formula": "ThCd2Au2", "functional": "PBE", "state": "relaxed", "relative_energy_ev_per_atom": 0.072, "magmom_total_mub_per_cell": 0.0, "dft_energy_ha_per_atom": -0.1283, "lattice": [[-3.388, 0.010, -0.650], [-0.909, -1.275, 4.719], [-0.561, 12.944, 3.112]], "species": ["Au", "Au", "Au", "Au", "Cd", "Cd", "Cd", "Cd", "Th", "Th"], "frac_coords": [[0.250, 0.276, 0.953], [0.750, 0.724, 0.047], [0.250, 0.761, 0.654], [0.750, 0.239, 0.346], [0.750, 0.748, 0.475], [0.250, 0.775, 0.867], [0.250, 0.252, 0.525], [0.750, 0.225, 0.133], [0.750, 0.267, 0.748], [0.250, 0.733, 0.252]]}

4.
{"formula": "ThCdAu", "functional": "PBE", "state": "relaxed", "magmom_total_mub_per_cell": 0.0, "dft_energy_ha_per_atom": -0.1570, "lattice": [[-2.635, 1.680, 3.758], [-3.750, -2.620, 1.720], [0.328, -2.158, 4.373]], "species": ["Th", "Cd", "Au"], "frac_coords": [[0.500, 0.500, 0.500], [0.000, 0.000, 0.000], [0.250, 0.250, 0.250]]}

5.
{"formula": "Th3Cd2Au4", "functional": "PBE", "state": "relaxed", "magmom_total_mub_per_cell": 0.0, "dft_energy_ha_per_atom": -0.1723, "lattice": [[4.901, 0.000, 0.000], [-2.450, 5.157, -1.898], [0.000, -1.559, 8.983]], "species": ["Th", "Th", "Th", "Au", "Au", "Au", "Au", "Cd", "Cd"], "frac_coords": [[0.000, 0.000, 0.000], [0.659, 0.318, 0.676], [0.341, 0.682, 0.324], [0.064, 0.127, 0.395], [0.936, 0.873, 0.605], [0.718, 0.437, 0.055], [0.282, 0.563, 0.945], [0.374, 0.749, 0.708], [0.626, 0.251, 0.292]]}

6.
{"formula": "ThTlCdAu", "functional": "PBE", "state": "relaxed", "magmom_total_mub_per_cell": 0.0, "dft_energy_ha_per_atom": -0.1392, "lattice": [[5.190, 0.000, 0.000], [2.595, 4.495, 0.000], [2.595, 1.498, 4.238]], "species": ["Cd", "Th", "Tl", "Au"], "frac_coords": [[0.750, 0.750, 0.750], [0.250, 0.250, 0.250], [0.500, 0.500, 0.500], [0.000, 0.000, 0.000]]}